## LaBi2Pt2 (meta-GGA SCAN)

Data for a crystal of LaBi2Pt2 relaxed with PBEsol.

Unit cell a=6.827 b=6.827 c=6.827 alpha=141.36 beta=141.36 gamma=55.80
Positions (direct):
La (0.000, 0.000, 0.000)
Bi (0.250, 0.750, 0.500)
Bi (0.750, 0.250, 0.500)
Pt (0.394, 0.394, 0.000)
Pt (0.606, 0.606, 0.000)

energy of formation	-3.24	eV/f.u.
calculated density	12772	kg/m³
total moment	0.0	μB/cell